No. 1
ZnAgCl2F after structural relaxation, computed with PBE.

a = 4.982 Å, b = 4.982 Å, c = 3.878 Å
α = 90.00°, β = 90.00°, γ = 90.00°
Space group P4/mmm (No. 123)
Asymmetric unit:
Zn  0.000  0.000  0.000 (multiplicity 1)
Ag  0.500  0.500  0.500 (multiplicity 1)
Cl  0.000  0.500  0.000 (multiplicity 2)
F  0.000  0.000  0.500 (multiplicity 1)

Properties
Magnetic moment: 0.00 μB per formula unit
Density: 4.54 g/cm3
Formation energy without anion corrections: -1.033 eV per atom
Total energy: -2.97 eV/atom



No. 2
ZnAg3Cl2F6 after structural relaxation, computed with PBE.

a = 11.798 Å, b = 6.720 Å, c = 5.177 Å
α = 90.00°, β = 96.79°, γ = 90.00°
Space group C2/m (No. 12)
Asymmetric unit:
Zn  0.000  0.000  0.000 (multiplicity 2)
Ag  0.000  0.500  0.500 (multiplicity 2)
Ag  0.250  0.250  0.000 (multiplicity 4)
Cl  0.183  0.500  0.290 (multiplicity 4)
F  0.083  0.254  0.787 (multiplicity 8)
F  0.138  0.000  0.220 (multiplicity 4)

Properties
Magnetic moment: 0.00 μB per formula unit
Density: 4.68 g/cm3
Formation energy without anion corrections: -1.160 eV per atom
Total energy: -3.22 eV/atom



No. 3
ZrAg2Cl4F2 after structural relaxation, computed with PBE.

a = 12.125 Å, b = 7.528 Å, c = 5.614 Å
α = 90.00°, β = 94.20°, γ = 90.00°
Space group C2/m (No. 12)
Asymmetric unit:
Zr  0.000  0.000  0.000 (multiplicity 2)
Ag  0.217  0.500  0.979 (multiplicity 4)
Cl  0.128  0.234  0.196 (multiplicity 8)
F  0.093  0.000  0.724 (multiplicity 4)

Properties
Magnetic moment: 0.00 μB per formula unit
Density: 3.16 g/cm3
Formation energy without anion corrections: -1.597 eV per atom
Total energy: -4.42 eV/atom



No. 4
ZrAg3Cl2F6 after structural relaxation, computed with PBE.

a = 13.178 Å, b = 6.920 Å, c = 4.985 Å
α = 90.00°, β = 90.23°, γ = 90.00°
Space group C2/m (No. 12)
Asymmetric unit:
Zr  0.000  0.000  0.000 (multiplicity 2)
Ag  0.000  0.500  0.500 (multiplicity 2)
Ag  0.250  0.250  0.000 (multiplicity 4)
Cl  0.176  0.500  0.704 (multiplicity 4)
F  0.062  0.215  0.232 (multiplicity 8)
F  0.135  0.000  0.794 (multiplicity 4)

Properties
Magnetic moment: 0.00 μB per formula unit
Density: 4.38 g/cm3
Formation energy without anion corrections: -1.956 eV per atom
Total energy: -4.62 eV/atom